Material: InCoSn2Se
Method: DFT, GGA-PBE
State: optimized geometry

Lattice parameters (Å, degrees): 4.884 4.884 4.987 90.00 90.00 90.00
Fractional positions:
In 0.000 0.000 0.000
Co 0.000 0.000 0.500
Sn 0.000 0.500 0.500
Sn 0.500 0.000 0.500
Se 0.500 0.500 0.000

**E**: -4.406 eV/atom
**Raw formation energy**: -0.139 eV per atom
**Calculated volume**: 118.98 Å³/f.u.
**Density of states at the Fermi level**: 0.146 states/eV per atom